SmMgB4 | GGA-PBE | relaxed

POSCAR file:
```
SmMgB4
1.0
3.192 0.000 0.000
-1.596 2.764 0.000
0.000 0.000 7.552
Sm Mg B
1 1 4
Direct
0.000 0.000 0.000 Sm
0.000 0.000 0.500 Mg
0.333 0.667 0.272 B
0.333 0.667 0.728 B
0.667 0.333 0.272 B
0.667 0.333 0.728 B
```

## Properties
VASP energy: -5.72 eV per atom
SG: P6/mmm
Energy relative to the lowest polymorph listed for this composition: 0.000 eV/atom